VASP calculation (PBE) on a relaxed structure of La3SbO7.

Lattice parameters (Å, degrees): 6.799 6.799 7.879 90.00 90.00 109.95
Fractional positions:
La: 0.500 0.500 0.500
La: 0.500 0.500 0.000
La: 0.529 0.999 0.250
La: 0.471 0.001 0.750
La: 0.999 0.529 0.750
La: 0.001 0.471 0.250
Sb: 0.000 0.000 0.500
Sb: 0.000 0.000 0.000
O: 0.689 0.933 0.527
O: 0.311 0.067 0.027
O: 0.933 0.689 0.473
O: 0.067 0.311 0.973
O: 0.067 0.311 0.527
O: 0.933 0.689 0.027
O: 0.311 0.067 0.473
O: 0.689 0.933 0.973
O: 0.372 0.628 0.250
O: 0.628 0.372 0.750
O: 0.634 0.366 0.250
O: 0.366 0.634 0.750
O: 0.942 0.058 0.250
O: 0.058 0.942 0.750

Properties
total energy: -7.8057 eV/atom
energy above the most stable polymorph in this dataset: 0 meV per atom
density of states at the Fermi level: 0.00 states/eV/f.u.
uncorrected formation energy: -2.9318 eV per atom
total magnetization: 0.00 μB/cell
space group: Cmcm


VASP calculation (PBE) on a relaxed structure of La6Sb5O.

Lattice parameters (Å, degrees): 7.799 7.815 7.746 59.70 80.13 70.13
Fractional positions:
La: 0.771 0.074 0.305
La: 0.229 0.621 0.305
La: 0.250 0.234 0.000
La: 0.750 0.766 0.000
La: 0.771 0.379 0.695
La: 0.229 0.926 0.695
Sb: 0.500 0.178 0.643
Sb: 0.000 0.336 0.329
Sb: 0.500 0.500 0.000
Sb: 0.000 0.664 0.671
Sb: 0.500 0.822 0.357
O: 0.000 0.000 0.000

Properties
total energy: -5.9846 eV/atom
density of states at the Fermi level: 3.00 states/eV/f.u.
uncorrected formation energy: -1.3900 eV per atom
total magnetization: 0.00 μB/cell
space group: C2/m


VASP calculation (PBE) on a relaxed structure of La3SbO7.

Lattice parameters (Å, degrees): 6.789 6.789 7.826 90.00 90.00 110.99
Fractional positions:
La: 0.000 0.000 0.500
La: 0.000 0.000 0.000
La: 0.521 0.063 0.250
La: 0.937 0.479 0.750
La: 0.479 0.937 0.750
La: 0.063 0.521 0.250
Sb: 0.500 0.500 0.500
Sb: 0.500 0.500 0.000
O: 0.440 0.190 0.533
O: 0.810 0.560 0.467
O: 0.440 0.190 0.967
O: 0.810 0.560 0.033
O: 0.560 0.810 0.467
O: 0.190 0.440 0.533
O: 0.560 0.810 0.033
O: 0.190 0.440 0.967
O: 0.152 0.890 0.250
O: 0.110 0.848 0.750
O: 0.848 0.110 0.750
O: 0.890 0.152 0.250
O: 0.423 0.423 0.250
O: 0.577 0.577 0.750

Properties
total energy: -7.8036 eV/atom
energy above the most stable polymorph in this dataset: 2 meV per atom
density of states at the Fermi level: 0.00 states/eV/f.u.
uncorrected formation energy: -2.9298 eV per atom
total magnetization: 0.00 μB/cell
space group: Cmcm


VASP calculation (PBE) on a relaxed structure of La4Sb3O.

Lattice parameters (Å, degrees): 6.491 6.489 12.761 90.00 90.00 90.00
Fractional positions:
La: 0.063 0.838 0.000
La: 0.651 0.254 0.000
La: 0.064 0.247 0.250
La: 0.564 0.753 0.250
La: 0.151 0.746 0.500
La: 0.563 0.162 0.500
La: 0.564 0.753 0.750
La: 0.064 0.247 0.750
Sb: 0.565 0.755 0.000
Sb: 0.064 0.747 0.250
Sb: 0.564 0.253 0.250
Sb: 0.065 0.245 0.500
Sb: 0.564 0.253 0.750
Sb: 0.064 0.747 0.750
O: 0.982 0.169 0.000
O: 0.482 0.831 0.500

Properties
total energy: -6.1959 eV/atom
density of states at the Fermi level: 3.61 states/eV/f.u.
uncorrected formation energy: -1.5666 eV per atom
total magnetization: 0.00 μB/cell
space group: Pmn2_1


VASP calculation (PBE) on a relaxed structure of La2ScSbO.

Lattice parameters (Å, degrees): 5.169 5.169 4.373 90.00 90.00 90.00
Fractional positions:
Sc: 0.000 0.000 0.500
Sb: 0.500 0.500 0.500
O: 0.000 0.000 0.000
La: 0.000 0.500 0.000
La: 0.500 0.000 0.000

Properties
total energy: -6.6338 eV/atom
density of states at the Fermi level: 4.02 states/eV/f.u.
uncorrected formation energy: -1.5804 eV per atom
total magnetization: 0.02 μB/cell
space group: P4/mmm


VASP calculation (PBE) on a relaxed structure of La2SbSeO.

Lattice parameters (Å, degrees): 5.971 4.220 5.971 90.00 90.00 90.00
Fractional positions:
Sb: 0.000 0.000 0.000
O: 0.000 0.500 0.000
Se: 0.500 0.500 0.500
La: 0.000 0.000 0.500
La: 0.500 0.000 0.000

Properties
total energy: -5.3133 eV/atom
density of states at the Fermi level: 4.53 states/eV/f.u.
uncorrected formation energy: -0.8293 eV per atom
total magnetization: 0.00 μB/cell
space group: P4/mmm


VASP calculation (PBE) on a relaxed structure of LaSmSbO2.

Lattice parameters (Å, degrees): 4.003 4.003 7.496 105.49 105.49 90.00
Fractional positions:
La: 0.163 0.163 0.326
Sm: 0.836 0.836 0.672
Sb: 0.496 0.496 0.992
O: 0.753 0.253 0.505
O: 0.253 0.753 0.505

Properties
total energy: -7.4076 eV/atom
density of states at the Fermi level: 1.75 states/eV/f.u.
uncorrected formation energy: -2.6705 eV per atom
total magnetization: 0.00 μB/cell
space group: I4mm


VASP calculation (PBE) on a relaxed structure of LaSm2SbO8.

Lattice parameters (Å, degrees): 4.206 5.388 7.503 89.96 89.94 93.84
Each line ends with the local moment (μB).
Fractional positions:
La: 0.000 0.000 0.500  0.01
Sm: 0.499 0.499 0.755  -0.01
Sm: 0.501 0.501 0.245  -0.01
Sb: 0.000 0.000 0.000  -0.02
O: 0.049 0.757 0.207  0.13
O: 0.578 0.801 0.999  0.39
O: 0.951 0.243 0.207  0.14
O: 0.951 0.243 0.793  0.13
O: 0.422 0.199 0.001  0.39
O: 0.049 0.757 0.793  0.14
O: 0.511 0.745 0.500  0.20
O: 0.489 0.255 0.500  0.20

Properties
total energy: -7.2785 eV/atom
density of states at the Fermi level: 6.68 states/eV/f.u.
uncorrected formation energy: -2.4323 eV per atom
total magnetization: 2.00 μB/cell
space group: P-1


VASP calculation (PBE) on a relaxed structure of LaSmSb2O8.

Lattice parameters (Å, degrees): 5.404 5.404 6.953 112.87 112.87 90.00
Fractional positions:
La: 0.750 0.250 0.500
Sm: 0.000 0.000 0.000
Sb: 0.500 0.500 0.000
Sb: 0.250 0.750 0.500
O: 0.762 0.833 0.170
O: 0.408 0.337 0.170
O: 0.589 0.671 0.676
O: 0.088 0.005 0.676
O: 0.995 0.411 0.324
O: 0.329 0.912 0.324
O: 0.167 0.592 0.830
O: 0.663 0.238 0.830

Properties
total energy: -7.1101 eV/atom
density of states at the Fermi level: 0.00 states/eV/f.u.
uncorrected formation energy: -2.3137 eV per atom
total magnetization: 0.00 μB/cell
space group: I-4


VASP calculation (PBE) on a relaxed structure of SrLa2SbO.

Lattice parameters (Å, degrees): 5.014 5.014 5.167 90.00 90.00 90.00
Fractional positions:
Sb: 0.500 0.500 0.500
O: 0.000 0.000 0.000
Sr: 0.000 0.000 0.500
La: 0.000 0.500 0.000
La: 0.500 0.000 0.000

Properties
total energy: -5.6450 eV/atom
density of states at the Fermi level: 4.46 states/eV/f.u.
uncorrected formation energy: -1.5215 eV per atom
total magnetization: 0.00 μB/cell
space group: P4/mmm


VASP calculation (PBE) on a relaxed structure of SrLaSb2O8.

Lattice parameters (Å, degrees): 5.522 5.522 7.047 113.07 113.07 90.00
Each line ends with the local moment (μB).
Fractional positions:
Sr: 0.750 0.250 0.500  0.00
La: 0.000 0.000 0.000  -0.01
Sb: 0.500 0.500 0.000  -0.01
Sb: 0.250 0.750 0.500  -0.01
O: 0.762 0.823 0.171  0.12
O: 0.409 0.348 0.171  0.12
O: 0.580 0.675 0.679  0.12
O: 0.099 0.004 0.679  0.12
O: 0.996 0.420 0.321  0.12
O: 0.325 0.901 0.321  0.12
O: 0.177 0.591 0.829  0.12
O: 0.652 0.238 0.829  0.12

Properties
total energy: -6.5343 eV/atom
density of states at the Fermi level: 8.41 states/eV/f.u.
uncorrected formation energy: -1.9910 eV per atom
total magnetization: 1.12 μB/cell
space group: I-4


VASP calculation (PBE) on a relaxed structure of Sr2LaSbO6.

Lattice parameters (Å, degrees): 5.953 6.102 8.510 90.00 90.42 90.00
Fractional positions:
Sr: 0.013 0.956 0.251
Sr: 0.513 0.544 0.751
Sr: 0.987 0.044 0.749
Sr: 0.487 0.456 0.249
La: 0.500 0.000 0.000
La: 0.000 0.500 0.500
Sb: 0.500 0.000 0.500
Sb: 0.000 0.500 0.000
O: 0.273 0.688 0.046
O: 0.773 0.812 0.546
O: 0.727 0.312 0.954
O: 0.227 0.188 0.454
O: 0.317 0.728 0.444
O: 0.817 0.772 0.944
O: 0.683 0.272 0.556
O: 0.183 0.228 0.056
O: 0.905 0.537 0.227
O: 0.405 0.963 0.727
O: 0.095 0.463 0.773
O: 0.595 0.037 0.273

Properties
total energy: -6.8468 eV/atom
density of states at the Fermi level: 0.00 states/eV/f.u.
uncorrected formation energy: -2.6305 eV per atom
total magnetization: 0.00 μB/cell
space group: P2_1/c


Copy entry 5 word for word.
VASP calculation (PBE) on a relaxed structure of La2ScSbO.

Lattice parameters (Å, degrees): 5.169 5.169 4.373 90.00 90.00 90.00
Fractional positions:
Sc: 0.000 0.000 0.500
Sb: 0.500 0.500 0.500
O: 0.000 0.000 0.000
La: 0.000 0.500 0.000
La: 0.500 0.000 0.000

Properties
total energy: -6.6338 eV/atom
density of states at the Fermi level: 4.02 states/eV/f.u.
uncorrected formation energy: -1.5804 eV per atom
total magnetization: 0.02 μB/cell
space group: P4/mmm


- Which of these has the lowest total energy?
  number 1